KYTeO4 after structural relaxation, computed with PBE.

The calculation puts the total energy at -6.41 eV/atom. The uncorrected formation energy comes out at -2.0508 eV per atom.

It has space group P2_1/m (No. 11), with a = 5.8917 Å, b = 6.0224 Å, c = 7.8898 Å, α = 90.00°, β = 108.43° and γ = 90.00°. The asymmetric unit holds K at (0.0746, 0.2500, 0.1492), Y at (0.1691, 0.7500, 0.4612), Te at (0.4168, 0.2500, 0.7472), O at (0.1673, 0.0095, 0.6704), O at (0.2171, 0.7500, 0.1905) and O at (0.4265, 0.2500, 0.5041).

KYTe2O6 after structural relaxation, computed with PBE.

The calculation puts the total energy at -6.15 eV/atom. The value obtained for the energy above the lowest structure with this stoichiometry is 1.04 eV per formula unit. The uncorrected formation energy comes out at -1.7905 eV per atom.

It has space group R-3 (No. 148, hexagonal axes), with a = 5.9282 Å, b = 5.9282 Å, c = 18.4787 Å, α = 90.00°, β = 90.00° and γ = 120.00°. The asymmetric unit holds K at (0.0000, 0.0000, 0.0000), Y at (0.0000, 0.0000, 0.5000), Te at (0.0000, 0.0000, 0.2797) and O at (0.0159, 0.6054, 0.9045).